Below is an optimized crystal structure of Ta2FeO6, with properties calculated at the GGA+U level.

Results
- Energy: -8.945 eV/atom
- E above lowest polymorph: 189 meV/atom
- Total magnetization: 4.000 μB per formula unit

Lattice parameters (Å, degrees): 4.585 5.247 5.247 120.00 90.00 90.00
Fractional positions:
O  0.732  0.647  0.647
O  0.732  0.353  0.000
O  0.732  0.000  0.353
O  0.268  0.647  0.000
O  0.268  0.353  0.353
Fe  0.000  0.000  0.000
Ta  0.500  0.333  0.667
Ta  0.500  0.667  0.333
O  0.268  0.000  0.647